# 1
Density functional theory data (PBE) for a geometry-optimized CdP structure.

Computed properties:
Total magnetization in μB/atom: 0.000
DOS at the Fermi energy in states/eV/atom: 0.3556
E_form in meV/atom: 118
Symmetry: Cm
Volume in Å³/f.u.: 43
Uncorrected energy in eV per atom: -3.044

Unit cell a=6.7910 b=6.7910 c=5.9592 alpha=102.07 beta=102.07 gamma=29.08
With the nearest neighbours (Å) after each atom.
Atoms (fractional coordinates):
1 Cd 0.0000 0.0000 0.0000  2 Cd 2.97-3.06, 4 P 3.06-3.25
2 Cd 0.0365 0.0365 0.5092  2 P 2.68, 1 Cd 2.97
3 Cd 0.3525 0.3525 0.5653  3 P 2.66-2.73
4 P 0.3238 0.3238 0.1100  2 P 2.28
5 P 0.6972 0.6972 0.6193  1 P 2.20
6 P 0.7097 0.7097 0.9934  3 P 2.20-2.28


# 2
Density functional theory data (PBE) for a geometry-optimized Fe3PtN structure.

Computed properties:
Total magnetization in μB/atom: 0.000
DOS at the Fermi energy in states/eV/atom: 2.1349
Symmetry: Pm-3m
Formation energy from raw total energies in eV per atom: 0.03
Volume in Å³/f.u.: 53
Uncorrected energy in eV per atom: -7.918

Unit cell a=3.7668 b=3.7668 c=3.7668 alpha=90.00 beta=90.00 gamma=90.00
With the nearest neighbours (Å) after each atom.
Atoms (fractional coordinates):
1 Fe 0.0000 0.0000 0.5000  2 N 1.88
2 Fe 0.0000 0.5000 0.0000  2 N 1.88
3 Fe 0.5000 0.0000 0.0000  2 N 1.88
4 Pt 0.5000 0.5000 0.5000  12 Fe 2.66
5 N 0.0000 0.0000 0.0000  6 Fe 1.88


# 3
Density functional theory data (PBE) for a geometry-optimized Ca4SnHg2 structure.

Computed properties:
Total magnetization in μB/atom: 0.000
DOS at the Fermi energy in states/eV/atom: 0.7759
E_form in meV/atom: -480
Symmetry: R-3m
Volume in Å³/f.u.: 217
Uncorrected energy in eV per atom: -2.282

Unit cell a=9.4168 b=9.4168 c=9.4168 alpha=32.75 beta=32.75 gamma=32.75
With the nearest neighbours (Å) after each atom.
Atoms (fractional coordinates):
1 Ca 0.1241 0.1241 0.1241  3 Sn 3.27, 4 Hg 3.28-3.44
2 Ca 0.3748 0.3748 0.3748  4 Hg 3.24-3.26, 1 Sn 3.35
3 Ca 0.6252 0.6252 0.6252  4 Hg 3.24-3.26, 1 Sn 3.35
4 Ca 0.8759 0.8759 0.8759  3 Sn 3.27, 4 Hg 3.28-3.44
5 Sn 0.5000 0.5000 0.5000  8 Ca 3.27-3.35
6 Hg 0.2528 0.2528 0.2528  8 Ca 3.24-3.44
7 Hg 0.7472 0.7472 0.7472  8 Ca 3.24-3.44


# 4
Density functional theory data (PBE) for a geometry-optimized ScAgTe2N structure.

Computed properties:
Total magnetization in μB/atom: 0.336
DOS at the Fermi energy in states/eV/atom: 0.3910
Symmetry: P4/mmm
Formation energy from raw total energies in eV per atom: 0.60
Volume in Å³/f.u.: 122
Uncorrected energy in eV per atom: -4.160

Unit cell a=5.5238 b=5.5238 c=4.0123 alpha=90.00 beta=90.00 gamma=90.00
With the nearest neighbours (Å) after each atom.
Atoms (fractional coordinates):
1 Sc 0.0000 0.0000 0.0000  8 Te 3.41
2 Ag 0.5000 0.5000 0.5000  2 N 2.01
3 Te 0.0000 0.5000 0.5000  2 Ag 2.76
4 Te 0.5000 0.0000 0.5000  2 Ag 2.76
5 N 0.5000 0.5000 0.0000  2 Ag 2.01


# 5
Density functional theory data (PBE) for a geometry-optimized TlTc2Au structure.

Computed properties:
Total magnetization in μB/atom: 0.000
DOS at the Fermi energy in states/eV/atom: 0.7697
E_form in meV/atom: 276
Symmetry: P4mm
Volume in Å³/f.u.: 72
Uncorrected energy in eV per atom: -6.318

Unit cell a=2.9760 b=2.9760 c=8.1673 alpha=90.00 beta=90.00 gamma=90.00
With the nearest neighbours (Å) after each atom.
Atoms (fractional coordinates):
1 Tl 0.0000 0.0000 0.0000  4 Tl 2.98, 4 Tc 3.07, 4 Au 3.19
2 Tc 0.0000 0.0000 0.5489  4 Tc 2.55
3 Tc 0.5000 0.5000 0.7256  4 Tc 2.55
4 Au 0.5000 0.5000 0.2933  4 Tc 2.96, 4 Au 2.98, 4 Tl 3.19


# 6
Density functional theory data (PBE) for a geometry-optimized Dy6BiSe2S3 structure.

Computed properties:
Total magnetization in μB/atom: 0.000
DOS at the Fermi energy in states/eV/atom: 0.2635
Symmetry: C2/m
Formation energy from raw total energies in eV per atom: -1.70
Volume in Å³/f.u.: 285
Uncorrected energy in eV per atom: -5.936

Unit cell a=9.1257 b=9.1257 c=8.2164 alpha=104.17 beta=104.17 gamma=25.47
With the nearest neighbours (Å) after each atom.
Atoms (fractional coordinates):
1 Dy 0.0049 0.0049 0.2235  3 S 2.71-2.76, 1 Se 3.01
2 Dy 0.3238 0.3238 0.4333  3 S 2.74-2.79, 2 Se 3.00, 1 Bi 3.05
3 Dy 0.3388 0.3388 0.9054  3 S 2.76-2.78, 3 Se 2.93-2.97
4 Dy 0.6612 0.6612 0.0946  3 S 2.76-2.78, 3 Se 2.93-2.97
5 Dy 0.6762 0.6762 0.5667  3 S 2.74-2.79, 2 Se 3.00, 1 Bi 3.05
6 Dy 0.9951 0.9951 0.7765  3 S 2.71-2.76, 1 Se 3.01
7 Bi 0.5000 0.5000 0.5000  6 Dy 3.05
8 Se 0.1688 0.1688 0.8335  6 Dy 2.93-3.01
9 Se 0.8312 0.8312 0.1665  6 Dy 2.93-3.01
10 S 0.1650 0.1650 0.3270  6 Dy 2.74-2.79
11 S 0.5000 0.5000 0.0000  6 Dy 2.71-2.78
12 S 0.8350 0.8350 0.6730  6 Dy 2.74-2.79


# 7
Density functional theory data (PBE) for a geometry-optimized K4H3Au structure.

Computed properties:
Total magnetization in μB/atom: 0.008
DOS at the Fermi energy in states/eV/atom: 0.0000
Symmetry: Pmmn
Volume in Å³/f.u.: 225
Uncorrected energy in eV per atom: -2.381

Unit cell a=6.1751 b=11.7510 c=6.1953 alpha=90.00 beta=90.00 gamma=90.00
With the nearest neighbours (Å) after each atom.
Atoms (fractional coordinates):
1 K 0.2500 0.0258 0.2452  1 H 2.64
2 K 0.2500 0.2500 0.7420  4 H 2.94-3.21, 2 Au 3.09
3 K 0.2500 0.4742 0.2452  1 H 2.64
4 K 0.2500 0.7500 0.7404  4 H 2.94-3.09, 2 Au 3.09-3.11
5 K 0.7500 0.2500 0.2596  4 H 2.94-3.09, 2 Au 3.09-3.11
6 K 0.7500 0.5258 0.7548  1 H 2.64
7 K 0.7500 0.7500 0.2580  4 H 2.94-3.21, 2 Au 3.09
8 K 0.7500 0.9742 0.7548  1 H 2.64
9 H 0.2500 0.0000 0.7488  6 K 2.94-3.13
10 H 0.2500 0.2500 0.2594  2 K 2.64
11 H 0.2500 0.5000 0.7488  6 K 2.94-3.13
12 H 0.7500 0.0000 0.2512  6 K 2.94-3.13
13 H 0.7500 0.5000 0.2512  6 K 2.94-3.13
14 H 0.7500 0.7500 0.7406  2 K 2.64
15 Au 0.2500 0.7500 0.2389  6 K 3.09-3.24
16 Au 0.7500 0.2500 0.7611  6 K 3.09-3.24


# 8
Density functional theory data (PBE) for a geometry-optimized TbEr2Al structure.

Computed properties:
Total magnetization in μB/atom: 0.000
DOS at the Fermi energy in states/eV/atom: 1.0286
E_form in meV/atom: -199
Symmetry: Amm2
Volume in Å³/f.u.: 106
Uncorrected energy in eV per atom: -4.574

Unit cell a=5.2806 b=6.7918 c=6.7918 alpha=60.09 beta=90.00 gamma=90.00
With the nearest neighbours (Å) after each atom.
Atoms (fractional coordinates):
1 Tb 0.0000 0.2377 0.7623  2 Tb 3.23-3.57, 6 Er 3.23-3.56, 4 Al 3.24-3.40
2 Tb 0.0000 0.7623 0.2377  2 Tb 3.23-3.57, 6 Er 3.23-3.56, 4 Al 3.24-3.40
3 Er 0.0000 0.7617 0.7617  4 Al 3.23-3.40, 4 Tb 3.23-3.56, 4 Er 3.34
4 Er 0.5000 0.4135 0.4135  4 Al 3.23-3.40, 4 Er 3.24-3.55, 4 Tb 3.34
5 Er 0.5000 0.4137 0.9368  4 Al 3.24-3.42, 6 Er 3.24-3.56, 2 Tb 3.35
6 Er 0.5000 0.9368 0.4137  4 Al 3.24-3.42, 6 Er 3.24-3.56, 2 Tb 3.35
7 Al 0.0000 0.2547 0.2547  8 Er 3.23-3.40, 4 Tb 3.39-3.40
8 Al 0.5000 0.9193 0.9193  8 Er 3.23-3.42, 4 Tb 3.24